Computed, not measured: crystalline HfWNF2 at its relaxed geometry at the PBE with a Hubbard U level of DFT.

abc: 4.1895 4.1895 4.2934
angles: 90.00 90.00 90.00
Element x y z (fractional)
Hf  0.0000  0.0000  0.0000
W  0.5000  0.5000  0.5000
N  0.0000  0.0000  0.5000
F  0.0000  0.5000  0.0000
F  0.5000  0.0000  0.0000

Values from the calculation:
As for the calculated total energy: -0.25747 Ha/atom. The symmetry is P4/mmm, No. 123. The calculation puts the volume at 15.072 Å³ per atom. The density of states at the Fermi level comes out at 0.148 states/eV/atom.